# Tb3Al4Pd2

An optimized crystal structure of Tb3Al4Pd2 (PBE, Alexandria via LeMat-Bulk).

a = 4.337 Å, b = 5.841 Å, c = 8.485 Å
α = 104.67°, β = 90.00°, γ = 111.79°
Sites, in units of the cell vectors:
Pd (0.694, 0.388, 0.762)
Al (0.710, 0.419, 0.068)
Al (0.087, 0.174, 0.649)
Tb (0.378, 0.756, 0.625)
Al (0.913, 0.826, 0.351)
Tb (0.000, 0.000, 0.000)
Al (0.290, 0.581, 0.932)
Tb (0.622, 0.244, 0.375)
Pd (0.306, 0.612, 0.238)

Calculated values
electronic total energy = -45.164 eV/cell
volume = 21.3 Å³ per atom
DFT formation energy = -0.6574 eV per atom
density of states at the Fermi level = 0.565 states/eV per atom

=====

# TbAlPd

An optimized crystal structure of TbAlPd (PBE, Alexandria via LeMat-Bulk).

a = 3.711 Å, b = 4.436 Å, c = 4.436 Å
α = 120.00°, β = 90.00°, γ = 90.00°
Sites, in units of the cell vectors:
Tb (0.667, 0.667, 0.333)
Al (0.167, 0.000, 0.000)
Pd (0.167, 0.333, 0.667)

Calculated values
electronic total energy = -15.887 eV/cell
volume = 21.1 Å³ per atom
DFT formation energy = -0.7739 eV per atom
density of states at the Fermi level = 0.608 states/eV per atom

=====

# Tb2Al9Pd3

An optimized crystal structure of Tb2Al9Pd3 (PBE, Alexandria via LeMat-Bulk).

a = 7.664 Å, b = 7.664 Å, c = 9.480 Å
α = 90.00°, β = 90.00°, γ = 119.55°
Sites, in units of the cell vectors:
Al (0.665, 0.999, 0.575)
Al (0.335, 0.001, 0.075)
Pd (0.328, 0.672, 0.000)
Al (0.001, 0.335, 0.075)
Al (0.999, 0.665, 0.575)
Tb (0.993, 0.670, 0.250)
Al (0.667, 0.667, 0.443)
Al (0.338, 0.546, 0.250)
Al (0.454, 0.662, 0.750)
Al (0.001, 0.335, 0.425)
Tb (0.670, 0.993, 0.250)
Tb (0.330, 0.007, 0.750)
Al (0.333, 0.333, 0.557)
Pd (0.672, 0.328, 0.500)
Al (0.667, 0.667, 0.057)
Pd (0.000, 0.000, 0.000)
Al (0.870, 0.870, 0.750)
Al (0.335, 0.001, 0.425)
Al (0.333, 0.333, 0.943)
Al (0.999, 0.665, 0.925)
Al (0.665, 0.999, 0.925)
Al (0.662, 0.454, 0.750)
Tb (0.007, 0.330, 0.750)
Pd (0.000, 0.000, 0.500)
Pd (0.672, 0.328, 0.000)
Al (0.546, 0.338, 0.250)
Pd (0.328, 0.672, 0.500)
Al (0.130, 0.130, 0.250)

Calculated values
electronic total energy = -136.497 eV/cell
volume = 17.3 Å³ per atom
DFT formation energy = -0.6948 eV per atom
density of states at the Fermi level = 0.382 states/eV per atom